# Cr2Pd8Au PBE relaxed
data_Cr2Pd8Au
_chemical_formula_sum 'Cr4 Pd16 Au2'
_symmetry_space_group_name_H-M 'I m m m'
_symmetry_Int_Tables_number 71
_symmetry_space_group_name_Hall '-I 2 2'
_cell_length_a 4.1552
_cell_length_b 6.9646
_cell_length_c 11.9990
_cell_angle_alpha 90.00
_cell_angle_beta 90.00
_cell_angle_gamma 90.00
loop_
_atom_site_label
_atom_site_fract_x
_atom_site_fract_y
_atom_site_fract_z
Cr1 0.0000 0.0000 0.1952
Pd1 0.0000 0.1940 0.0000
Pd2 0.0000 0.2853 0.3429
Pd3 0.0000 0.5000 0.1550
Au1 0.0000 0.0000 0.5000
# ΔE to the lowest computed polymorph (meV per atom): 7

***

Tb9Nd2Mg: relaxed, PBE.

```
data_Tb9Nd2Mg
_chemical_formula_sum 'Tb9 Nd2 Mg1'
_symmetry_space_group_name_H-M 'P 4/m m m'
_symmetry_Int_Tables_number 123
_symmetry_space_group_name_Hall '-P 4 2'
_cell_length_a 5.0245
_cell_length_b 5.0245
_cell_length_c 15.1337
_cell_angle_alpha 90.00
_cell_angle_beta 90.00
_cell_angle_gamma 90.00
loop_
_atom_site_label
_atom_site_fract_x
_atom_site_fract_y
_atom_site_fract_z
Tb1 0.0000 0.0000 0.0000
Tb2 0.0000 0.0000 0.3286
Tb3 0.0000 0.5000 0.1627
Tb4 0.0000 0.5000 0.5000
Nd1 0.5000 0.5000 0.3308
Mg1 0.5000 0.5000 0.0000
```

***

Values for DFT total energy, eV per atom, ordered as above
-5.810 -4.378
Values for energy of formation from the pure elements, eV/atom, ordered as above
0.014 0.022
Values for DOS at the Fermi energy, states/eV per cell, ordered as above
27.2 17.1